# 1
First-principles (GGA-PBE) data for crystalline KRb2CdHg6 at its relaxed geometry, as listed in the Alexandria database.

CIF file:
```
data_KRb2CdHg6
_cell_length_a 6.7772
_cell_length_b 6.8684
_cell_length_c 9.7408
_cell_angle_alpha 70.07
_cell_angle_beta 69.83
_cell_angle_gamma 60.48
_space_group_name_H-M_alt 'P -1'
_space_group_IT_number 2
loop_
_space_group_symop_operation_xyz
'x,y,z'
'-x,-y,-z'
loop_
_atom_site_label
_atom_site_fract_x
_atom_site_fract_y
_atom_site_fract_z
K1 0.0000 0.0000 0.0000
Rb1 0.3712 0.8674 0.3908
Cd1 0.0000 0.5000 0.5000
Hg1 0.0842 0.5952 0.7567
Hg2 0.3699 0.2631 0.9991
Hg3 0.4341 0.4066 0.2443
```

Properties
DFT formation energy ... -201 meV per atom
Total magnetization ... 0.00 μB per cell

***

# 2
First-principles (GGA-PBE) data for crystalline KRb2CdHg at its relaxed geometry, as listed in the Alexandria database.

CIF file:
```
data_KRb2CdHg
_cell_length_a 6.9664
_cell_length_b 6.9664
_cell_length_c 5.9575
_cell_angle_alpha 90.00
_cell_angle_beta 90.00
_cell_angle_gamma 90.00
_space_group_name_H-M_alt 'P 4/m m m'
_space_group_IT_number 123
_space_group_name_Hall '-P 4 2'
loop_
_atom_site_label
_atom_site_fract_x
_atom_site_fract_y
_atom_site_fract_z
K1 0.0000 0.0000 0.0000
Rb1 0.0000 0.5000 0.5000
Cd1 0.5000 0.5000 0.0000
Hg1 0.5000 0.5000 0.5000
```

Properties
DFT formation energy ... -16 meV per atom
E above lowest polymorph ... 0.34 kcal/mol of atoms
Total magnetization ... 0.00 μB per cell

***

# 3
First-principles (GGA-PBE) data for crystalline K4Rb2Cd2Hg at its relaxed geometry, as listed in the Alexandria database.

CIF file:
```
data_K4Rb2Cd2Hg
_cell_length_a 6.1654
_cell_length_b 8.5913
_cell_length_c 10.4901
_cell_angle_alpha 71.29
_cell_angle_beta 74.68
_cell_angle_gamma 71.08
_space_group_name_H-M_alt 'P -1'
_space_group_IT_number 2
loop_
_space_group_symop_operation_xyz
'x,y,z'
'-x,-y,-z'
loop_
_atom_site_label
_atom_site_fract_x
_atom_site_fract_y
_atom_site_fract_z
K1 0.0974 0.1641 0.1269
K2 0.3706 0.1604 0.6242
Rb1 0.3874 0.5397 0.2157
Cd1 0.1236 0.6227 0.5612
Hg1 0.0000 0.0000 0.5000
```

Properties
DFT formation energy ... -56 meV per atom
Total magnetization ... 0.00 μB per cell

***

# 4
First-principles (GGA-PBE) data for crystalline K2Rb4Cd2Hg at its relaxed geometry, as listed in the Alexandria database.

CIF file:
```
data_K2Rb4Cd2Hg
_cell_length_a 6.3240
_cell_length_b 8.7825
_cell_length_c 10.4857
_cell_angle_alpha 70.83
_cell_angle_beta 74.96
_cell_angle_gamma 71.46
_space_group_name_H-M_alt 'P -1'
_space_group_IT_number 2
loop_
_space_group_symop_operation_xyz
'x,y,z'
'-x,-y,-z'
loop_
_atom_site_label
_atom_site_fract_x
_atom_site_fract_y
_atom_site_fract_z
K1 0.1092 0.4767 0.2690
Rb1 0.1262 0.8429 0.8636
Rb2 0.4122 0.8104 0.3865
Cd1 0.3888 0.3763 0.9402
Hg1 0.5000 0.0000 0.0000
```

Properties
DFT formation energy ... -54 meV per atom
Total magnetization ... 0.00 μB per cell

***

# 5
First-principles (GGA-PBE) data for crystalline K3Rb2Cd4Hg2 at its relaxed geometry, as listed in the Alexandria database.

CIF file:
```
data_K3Rb2Cd4Hg2
_cell_length_a 5.7309
_cell_length_b 5.7309
_cell_length_c 28.5606
_cell_angle_alpha 90.00
_cell_angle_beta 90.00
_cell_angle_gamma 90.00
_space_group_name_H-M_alt 'I 4/m m m'
_space_group_IT_number 139
_space_group_name_Hall '-I 4 2'
loop_
_atom_site_label
_atom_site_fract_x
_atom_site_fract_y
_atom_site_fract_z
K1 0.0000 0.0000 0.0000
K2 0.0000 0.0000 0.1657
Rb1 0.0000 0.0000 0.3219
Cd1 0.0000 0.5000 0.0863
Hg1 0.0000 0.0000 0.4486
```

Properties
DFT formation energy ... -29 meV per atom
Total magnetization ... 0.00 μB per cell

***

# 6
First-principles (GGA-PBE) data for crystalline KRb2CdHg at its relaxed geometry, as listed in the Alexandria database.

CIF file:
```
data_KRb2CdHg
_cell_length_a 6.8852
_cell_length_b 6.8852
_cell_length_c 6.6228
_cell_angle_alpha 90.00
_cell_angle_beta 90.00
_cell_angle_gamma 90.00
_space_group_name_H-M_alt 'P 4/m m m'
_space_group_IT_number 123
_space_group_name_Hall '-P 4 2'
loop_
_atom_site_label
_atom_site_fract_x
_atom_site_fract_y
_atom_site_fract_z
K1 0.0000 0.0000 0.0000
Rb1 0.0000 0.5000 0.5000
Cd1 0.5000 0.5000 0.0000
Hg1 0.0000 0.0000 0.5000
```

Properties
DFT formation energy ... 54 meV per atom
E above lowest polymorph ... 1.95 kcal/mol of atoms
Total magnetization ... 0.00 μB per cell